1.
Compound: YRu
Source: Alexandria via LeMat-Bulk
Functional: PBE
Structure: relaxed

Cell lengths 5.5408, 5.8139, 10.6985 Å; angles 90.00, 90.00, 90.00 degrees
Last column: nearest neighbours and their distance in Å.
Positions (direct):
Ru (0.6345, 0.3572, 0.2272)  2 Ru 2.50-2.52
Ru (0.8655, 0.6428, 0.7272)  2 Ru 2.50-2.52
Ru (0.1345, 0.1428, 0.7728)  2 Ru 2.50-2.52
Ru (0.3655, 0.8572, 0.2728)  2 Ru 2.50-2.52
Ru (0.1220, 0.4049, 0.5854)  2 Ru 2.50-2.52
Ru (0.3780, 0.5951, 0.0854)  2 Ru 2.50-2.52
Ru (0.8780, 0.9049, 0.9146)  2 Ru 2.50-2.52
Ru (0.6220, 0.0951, 0.4146)  2 Ru 2.50-2.52
Y (0.8926, 0.4170, 0.9810)  7 Ru 2.93-3.23
Y (0.6074, 0.5830, 0.4810)  7 Ru 2.93-3.23
Y (0.3926, 0.0830, 0.0190)  7 Ru 2.93-3.23
Y (0.8665, 0.8538, 0.1924)  6 Ru 2.90-3.22
Y (0.6335, 0.1462, 0.6924)  6 Ru 2.90-3.22
Y (0.1074, 0.9170, 0.5190)  7 Ru 2.93-3.23
Y (0.3665, 0.6462, 0.8076)  6 Ru 2.90-3.22
Y (0.1335, 0.3538, 0.3076)  6 Ru 2.90-3.22

Computed properties:
SG: No. 19
E_form in eV per atom: -0.22



2.
Compound: Y2HoSn
Source: Alexandria via LeMat-Bulk
Functional: PBE
Structure: relaxed

Cell lengths 4.7887, 4.8247, 4.8247 Å; angles 90.00, 90.00, 90.00 degrees
Last column: nearest neighbours and their distance in Å.
Positions (direct):
Ho (0.5000, 0.5000, 0.5000)  8 Y 3.40, 4 Sn 3.41
Y (0.0000, 0.0000, 0.5000)  4 Sn 3.40, 4 Ho 3.40, 4 Y 3.41
Y (0.0000, 0.5000, 0.0000)  4 Sn 3.40, 4 Ho 3.40, 4 Y 3.41
Sn (0.5000, 0.0000, 0.0000)  8 Y 3.40, 4 Ho 3.41

Computed properties:
Relative energy among the computed polymorphs in meV per atom: 0.0
SG: No. 123
E_form in eV per atom: -0.41



- Which formula does entry 1 have?
  YRu



- What is the E_form in the first record?
  -0.22 eV per atom



- The highest E_form belongs to which entry?
  YRu